# Ca3Ge2Pt

An optimized crystal structure of Ca3Ge2Pt (PBE, Alexandria).

## Properties
Calculated volume = 25.5 A^3/atom
DOS(E_F) = 3.976 states/eV/f.u.
Calculated formation energy = -17.1 kcal/mol of atoms

Lattice parameters (Å, degrees): 11.862 4.377 11.770 90.00 90.00 90.00
Space group Pnma (No. 62)
One atom of each set of equivalent atoms:
Ca1 0.060 0.250 0.117
Ca2 0.116 0.750 0.554
Ca3 0.208 0.250 0.804
Ge1 0.031 0.750 0.302
Ge2 0.202 0.750 0.993
Pt1 0.125 0.250 0.365



# Sm2Ga2Hg3

An optimized crystal structure of Sm2Ga2Hg3 (PBE, Alexandria).

## Properties
Calculated volume = 24.0 A^3/atom
DOS(E_F) = 3.869 states/eV/f.u.
Calculated formation energy = -9.7 kcal/mol of atoms

Lattice parameters (Å, degrees): 11.058 4.511 6.731 90.00 92.32 90.00
Space group C2/m (No. 12)
One atom of each set of equivalent atoms:
Sm1 0.130 0.000 0.314
Ga1 0.088 0.500 0.621
Hg1 0.000 0.500 0.000
Hg2 0.183 0.000 0.833



# Pm2Nd5YTh

An optimized crystal structure of Pm2Nd5YTh (PBE, Alexandria).

## Properties
Calculated volume = 35.5 A^3/atom
DOS(E_F) = 12.845 states/eV/f.u.
Calculated formation energy = 3.2 kcal/mol of atoms

Lattice parameters (Å, degrees): 5.474 22.053 10.577 90.00 90.00 90.00
Space group Cmcm (No. 63)
One atom of each set of equivalent atoms:
Pm1 0.000 0.113 0.001
Nd1 0.000 0.002 0.750
Nd2 0.000 0.277 0.557
Nd3 0.000 0.373 0.250
Nd4 0.000 0.500 0.000
Y1 0.000 0.398 0.750
Th1 0.000 0.213 0.250



# ZrAsIrBr2

An optimized crystal structure of ZrAsIrBr2 (PBE, Alexandria).

## Properties
E_form (uncorrected) = 708 meV/atom
Calculated volume = 28.9 A^3/atom
DOS(E_F) = 5.913 states/eV/f.u.
ΔE to the lowest computed polymorph = 120 meV per atom

Lattice parameters (Å, degrees): 5.148 5.148 5.448 90.00 90.00 90.00
Space group P4/mmm (No. 123)
One atom of each set of equivalent atoms:
Zr1 0.000 0.000 0.000
As1 0.000 0.000 0.500
Ir1 0.500 0.500 0.500
Br1 0.000 0.500 0.000